Entry 1:
Be5Ag | meta-GGA SCAN | single point on PBEsol structure

abc: 3.6037 4.2725 4.2725
angles: 120.00 90.00 90.00
With the nearest neighbours (Å) after each atom.
Element x y z (fractional)
Ag1 0.0000 0.0000 0.0000  6 Be 2.47
Be1 0.5000 0.0000 0.5000  8 Be 2.14-2.18
Be2 0.0000 0.6667 0.3333  6 Be 2.18
Be3 0.5000 0.5000 0.0000  8 Be 2.14-2.18
Be4 0.5000 0.5000 0.5000  8 Be 2.14-2.18
Be5 0.0000 0.3333 0.6667  6 Be 2.18

## Properties
E_form (eV per atom): 0.03
Total magnetization (μB per cell): 0.00



Entry 2:
ScAl2In | meta-GGA SCAN | single point on PBEsol structure

abc: 3.0224 4.6380 5.6079
angles: 90.00 89.98 90.00
With the nearest neighbours (Å) after each atom.
Element x y z (fractional)
Al1 0.7510 0.5000 0.2349  2 Al 2.69, 2 In 2.78
Al2 0.7485 0.0000 0.9927  2 Al 2.69, 2 In 2.71-2.90
In1 0.7506 0.0000 0.5090  4 Al 2.71-2.90, 2 In 3.02
Sc1 0.2499 0.5000 0.7634  2 Sc 3.02, 8 Al 3.04-3.33, 4 In 3.11

## Properties
E_form (eV per atom): -0.26
Total magnetization (μB per cell): 0.00



Entry 3:
BeCO2 | meta-GGA SCAN | single point on PBEsol structure

abc: 3.4372 3.4372 3.4372
angles: 60.00 60.00 60.00
With the nearest neighbours (Å) after each atom.
Element x y z (fractional)
C1 0.5000 0.5000 0.5000  8 O 2.10
O1 0.2500 0.2500 0.2500  4 Be 2.10, 4 C 2.10
O2 0.7500 0.7500 0.7500  4 C 2.10, 4 Be 2.10
Be1 0.0000 0.0000 0.0000  8 O 2.10

## Properties
Raw formation energy (eV per formula unit): 4.18
Total magnetization (μB per cell): 0.00
Offset from the most stable computed form (eV/atom): 1.564